Entry 1:
Computed, not measured: a relaxed structure of La3Sn3Hg at the PBE level of DFT.

a b c (Å): 4.7813 6.4700 15.0356
angles (deg): 82.69 80.85 68.32
Fractional positions:
Sn  0.8819  0.1606  0.0755
Sn  0.9957  0.7843  0.2242
Sn  0.0043  0.2157  0.7758
Sn  0.8649  0.7244  0.5459
Sn  0.1181  0.8394  0.9245
Sn  0.1351  0.2756  0.4541
Hg  0.7748  0.0669  0.3835
Hg  0.2252  0.9331  0.6165
La  0.5211  0.3364  0.6214
La  0.7307  0.7656  0.7729
La  0.2693  0.2344  0.2271
La  0.6046  0.7141  0.0767
La  0.4789  0.6636  0.3786
La  0.3954  0.2859  0.9233

Calculated values
space-group type: C2/m, No. 12
formation enthalpy at 0 K: -0.710 eV/atom
excess energy over the best structure of this formula in the dataset: 0.000 eV per atom

Entry 2:
Computed, not measured: a relaxed structure of Cs2Hf2Sb2As at the PBE level of DFT.

a b c (Å): 5.0700 5.0700 10.4863
angles (deg): 103.99 103.99 90.00
Last column: magnetic moment on the atom in μB.
Fractional positions:
Cs  0.8206  0.8206  0.6412  0.00
Cs  0.1794  0.1794  0.3588  0.00
Sb  0.4040  0.4040  0.8080  -0.01
Sb  0.5960  0.5960  0.1920  -0.01
Hf  0.5000  0.0000  0.0000  0.16
Hf  0.0000  0.5000  0.0000  0.16
As  0.0000  0.0000  0.0000  -0.01

Calculated values
space-group type: I4/mmm, No. 139
formation energy from raw total energies: -11.6 kcal/mol of atoms

Entry 3:
Computed, not measured: a relaxed structure of LiLaSe2 at the PBE level of DFT.

a b c (Å): 6.1738 6.1738 8.0623
angles (deg): 67.49 67.49 90.00
Fractional positions:
Li  0.5000  0.5000  0.0000
Li  0.2500  0.7500  0.5000
La  0.0000  0.0000  0.0000
La  0.7500  0.2500  0.5000
Se  0.5925  0.1250  0.2500
Se  0.8750  0.8425  0.7500
Se  0.1575  0.6250  0.2500
Se  0.3750  0.4075  0.7500

Calculated values
space-group type: I-42d, No. 122
formation energy from raw total energies: -35.3 kcal/mol of atoms

no.,magnetic moment (μB/f.u.),E_tot (eV/cell)
1,0.02,-64.1
2,0.53,-38.0
3,0.00,-39.9